MnBeAsO6 | GGA+U | relaxed

Values from the calculation:
SG	No. 163
crystal system	trigonal
theoretical density	4.91	g/cm3
final energy	-56.96	eV per formula unit

a = 4.7026 Å, b = 4.7026 Å, c = 8.2871 Å
α = 90.00°, β = 90.00°, γ = 120.00°
Atoms (fractional coordinates):
1 Mn 0.0000 0.0000 0.0000
2 Mn 0.0000 0.0000 0.5000
3 Be 0.3333 0.6667 0.2500
4 Be 0.6667 0.3333 0.7500
5 As 0.3333 0.6667 0.7500
6 As 0.6667 0.3333 0.2500
7 O 0.0051 0.3469 0.1303
8 O 0.0051 0.6582 0.3697
9 O 0.3418 0.3469 0.3697
10 O 0.3418 0.9949 0.1303
11 O 0.3469 0.0051 0.6303
12 O 0.3469 0.3418 0.8697
13 O 0.6531 0.6582 0.1303
14 O 0.6531 0.9949 0.3697
15 O 0.6582 0.0051 0.8697
16 O 0.6582 0.6531 0.6303
17 O 0.9949 0.3418 0.6303
18 O 0.9949 0.6531 0.8697